Record 1
A plane-wave DFT calculation with PBE-GGA was carried out for a geometry-optimized Pr4SmIn structure.

Cell: 11.2351 11.2351 6.5352 Å, 90.00 90.00 150.05°
With the nearest neighbours (Å) after each atom.
Element x y z (fractional)
Pr (0.0439, 0.9561, 0.5000)  2 In 3.22-3.23, 3 Pr 3.28-3.57
Pr (0.1881, 0.8119, 0.6511)  1 In 3.17, 4 Pr 3.21-3.31
Pr (0.2496, 0.7504, 0.1872)  3 Pr 3.21-3.31, 1 In 3.30
Pr (0.4391, 0.5609, 0.3125)  2 In 3.41, 2 Sm 3.51-3.80, 2 Pr 3.57
Pr (0.5609, 0.4391, 0.8125)  2 In 3.41, 2 Sm 3.51-3.80, 2 Pr 3.57
Pr (0.7504, 0.2496, 0.6872)  3 Pr 3.21-3.31, 1 In 3.30
Pr (0.8119, 0.1881, 0.1511)  1 In 3.17, 4 Pr 3.21-3.31
Pr (0.9561, 0.0439, 0.0000)  2 In 3.22-3.23, 3 Pr 3.28-3.57
Sm (0.3636, 0.6364, 0.7873)  2 In 3.38, 2 Pr 3.51-3.60
Sm (0.6364, 0.3636, 0.2873)  2 In 3.38, 2 Pr 3.51-3.60
In (0.1035, 0.8965, 0.0471)  6 Pr 3.17-3.41, 2 Sm 3.38
In (0.8965, 0.1035, 0.5471)  6 Pr 3.17-3.41, 2 Sm 3.38

**Relative energy among the computed polymorphs**: 107 meV/atom

Record 2
A plane-wave DFT calculation with PBE-GGA was carried out for a geometry-optimized LuTc6 structure.

Cell: 6.7513 6.7513 6.7513 Å, 90.00 90.00 90.00°
With the nearest neighbours (Å) after each atom.
Element x y z (fractional)
Lu (0.0000, 0.0000, 0.0000)  24 Tc 3.77
Lu (0.5000, 0.5000, 0.5000)  24 Tc 3.77
Tc (0.0000, 0.2500, 0.5000)  4 Tc 2.39
Tc (0.0000, 0.5000, 0.2500)  4 Tc 2.39
Tc (0.0000, 0.5000, 0.7500)  4 Tc 2.39
Tc (0.0000, 0.7500, 0.5000)  4 Tc 2.39
Tc (0.2500, 0.0000, 0.5000)  4 Tc 2.39
Tc (0.2500, 0.5000, 0.0000)  4 Tc 2.39
Tc (0.5000, 0.0000, 0.2500)  4 Tc 2.39
Tc (0.5000, 0.0000, 0.7500)  4 Tc 2.39
Tc (0.5000, 0.2500, 0.0000)  4 Tc 2.39
Tc (0.5000, 0.7500, 0.0000)  4 Tc 2.39
Tc (0.7500, 0.0000, 0.5000)  4 Tc 2.39
Tc (0.7500, 0.5000, 0.0000)  4 Tc 2.39

Number 1: DFT total energy -4.463 eV/atom, ΔH_f (0 K) -0.03 eV per atom, total magnetization 0.0 μB per formula unit. Number 2: DFT total energy -8.609 eV/atom, ΔH_f (0 K) 0.92 eV per atom, total magnetization 0.0 μB per formula unit.